[1]
The following is a DFT calculation (PBE) of a relaxed BaFeRe2 crystal.

Energy of formation: 1.123 eV/atom
Density of states at the Fermi level: 5.56 states/eV per cell
SG: R-3m, No. 166
Relative energy among the computed polymorphs: 0.5788 eV per atom

a b c (Å): 10.2076 10.2076 10.2076
angles (deg): 16.42 16.42 16.42
Closest atoms and distances in Å follow each position.
Fractional positions:
Ba 0.0000 0.0000 0.0000  6 Ba 2.92
Fe 0.5000 0.5000 0.5000  6 Re 2.58
Re 0.2315 0.2315 0.2315  3 Fe 2.58
Re 0.7685 0.7685 0.7685  3 Fe 2.58



[2]
The following is a DFT calculation (PBE) of a relaxed Cs2ZrTlBi crystal.

Energy of formation: 0.859 eV/atom
Density of states at the Fermi level: 5.01 states/eV per cell
SG: P4/mmm, No. 123

a b c (Å): 6.5423 6.5423 5.8279
angles (deg): 90.00 90.00 90.00
Closest atoms and distances in Å follow each position.
Fractional positions:
Cs 0.0000 0.5000 0.0000  2 Zr 3.27
Cs 0.5000 0.0000 0.0000  2 Zr 3.27
Zr 0.0000 0.0000 0.0000  2 Tl 2.91
Tl 0.0000 0.0000 0.5000  2 Zr 2.91
Bi 0.5000 0.5000 0.5000  8 Cs 4.38, 4 Tl 4.63



[3]
The following is a DFT calculation (PBE) of a relaxed EuClO crystal.

Formation energy (no corrections): -2.2797 eV/atom
Density of states at the Fermi level: 5.71 states/eV per cell
SG: P-6m2, No. 187

a b c (Å): 3.8966 3.8966 4.5277
angles (deg): 90.00 90.00 120.00
Closest atoms and distances in Å follow each position.
Fractional positions:
Eu 0.0000 0.0000 0.0000  3 O 2.25
Cl 0.6667 0.3333 0.5000  6 Eu 3.19, 6 O 3.19
O 0.3333 0.6667 0.0000  3 Eu 2.25



[4]
The following is a DFT calculation (PBE) of a relaxed K2UTlTe4 crystal.

Formation energy (no corrections): -0.7559 eV/atom
Density of states at the Fermi level: 5.76 states/eV per cell
SG: P2/m, No. 10

a b c (Å): 8.3785 4.6018 8.4288
angles (deg): 90.00 107.47 90.00
Closest atoms and distances in Å follow each position.
Fractional positions:
K 0.0000 0.0000 0.0000  6 Te 3.72-3.85
K 0.0000 0.5000 0.5000  6 Te 3.46
U 0.5000 0.0000 0.5000  6 Te 2.92-3.08
Tl 0.5000 0.5000 0.0000  6 Te 3.37
Te 0.2908 0.0000 0.7221  1 U 2.92
Te 0.2972 0.5000 0.2906  2 U 3.08, 1 Tl 3.37
Te 0.7028 0.5000 0.7094  2 U 3.08, 1 Tl 3.37
Te 0.7092 0.0000 0.2779  1 U 2.92



[5]
The following is a DFT calculation (PBE) of a relaxed NdEuSnPb crystal.

Energy of formation: -0.533 eV/atom
Density of states at the Fermi level: 2.72 states/eV per cell
SG: F-43m, No. 216

a b c (Å): 5.5726 5.5726 5.5726
angles (deg): 60.00 60.00 60.00
Closest atoms and distances in Å follow each position.
Fractional positions:
Nd 0.0000 0.0000 0.0000  4 Sn 3.41, 4 Pb 3.41
Eu 0.5000 0.5000 0.5000  4 Sn 3.41, 4 Pb 3.41
Sn 0.7500 0.7500 0.7500  4 Nd 3.41, 4 Eu 3.41
Pb 0.2500 0.2500 0.2500  4 Nd 3.41, 4 Eu 3.41



[6]
The following is a DFT calculation (PBE) of a relaxed CrFeCu crystal.

Energy of formation: 0.215 eV/atom
Density of states at the Fermi level: 2.87 states/eV per cell
SG: I4mm, No. 107
Relative energy among the computed polymorphs: 0.0155 eV per atom

a b c (Å): 4.5402 4.5402 4.5402
angles (deg): 141.47 141.47 55.62
Closest atoms and distances in Å follow each position.
Fractional positions:
Cr 0.0000 0.0000 0.0000  4 Fe 2.43, 5 Cu 2.55-2.59
Fe 0.3522 0.3522 0.0000  4 Cr 2.43, 5 Cu 2.54-2.61
Cu 0.6770 0.6770 0.0000  5 Fe 2.54-2.61, 5 Cr 2.55-2.59



[7]
The following is a DFT calculation (PBE) of a relaxed BaBe2I6 crystal.

Formation energy (no corrections): -0.9097 eV/atom
Density of states at the Fermi level: 0.00 states/eV per cell
SG: C2/c, No. 15

a b c (Å): 10.8906 10.8906 7.0509
angles (deg): 103.36 103.36 88.37
Closest atoms and distances in Å follow each position.
Fractional positions:
Ba 0.2357 0.7643 0.7500  6 I 3.45-3.68
Ba 0.7643 0.2357 0.2500  6 I 3.45-3.68
Be 0.1405 0.2987 0.6760  4 I 2.36-2.54
Be 0.2987 0.1405 0.1760  4 I 2.36-2.54
Be 0.7013 0.8595 0.8240  4 I 2.36-2.54
Be 0.8595 0.7013 0.3240  4 I 2.36-2.54
I 0.0642 0.6583 0.2624  1 Be 2.38
I 0.1087 0.2289 0.3077  2 Be 2.48-2.54
I 0.2289 0.1087 0.8077  2 Be 2.48-2.54
I 0.2925 0.4643 0.8264  1 Be 2.36
I 0.3417 0.9358 0.2376  1 Be 2.38
I 0.4643 0.2925 0.3264  1 Be 2.36
I 0.5357 0.7074 0.6736  1 Be 2.36
I 0.6583 0.0642 0.7624  1 Be 2.38
I 0.7074 0.5357 0.1736  1 Be 2.36
I 0.7711 0.8913 0.1923  2 Be 2.48-2.54
I 0.8913 0.7711 0.6923  2 Be 2.48-2.54
I 0.9358 0.3417 0.7376  1 Be 2.38



[8]
The following is a DFT calculation (PBE) of a relaxed B36O5 crystal.

Formation energy (no corrections): -0.5864 eV/atom
Density of states at the Fermi level: 0.00 states/eV per cell
SG: P-1, No. 2

a b c (Å): 7.4088 7.4105 11.5943
angles (deg): 73.49 87.34 87.95
Closest atoms and distances in Å follow each position.
Fractional positions:
B 0.0002 0.1084 0.1142  6 B 1.70-1.83
B 0.9998 0.8916 0.8858  6 B 1.70-1.83
B 0.0017 0.2254 0.2208  6 B 1.70-1.81
B 0.0018 0.4524 0.4420  6 B 1.68-1.83
B 0.0595 0.2210 0.9588  1 O 1.48
B 0.0587 0.5326 0.8020  1 O 1.48
B 0.0618 0.8857 0.6261  1 O 1.50
B 0.0630 0.2079 0.4666  1 O 1.50
B 0.0693 0.8605 0.1407  5 B 1.77-1.83
B 0.0719 0.5730 0.2860  5 B 1.79-1.84
B 0.1642 0.4911 0.6681  6 B 1.70-1.84
B 0.1651 0.7150 0.5562  6 B 1.70-1.82
B 0.1656 0.0573 0.8857  6 B 1.70-1.83
B 0.1671 0.1694 0.3313  6 B 1.69-1.81
B 0.1679 0.8330 0.9985  6 B 1.70-1.83
B 0.1694 0.3933 0.2203  6 B 1.69-1.83
B 0.2004 0.0391 0.0411  1 O 1.48
B 0.2010 0.7036 0.7081  1 O 1.49
B 0.2034 0.3783 0.3726  1 O 1.48
B 0.2834 0.7856 0.2858  5 B 1.78-1.84
B 0.2984 0.4588 0.9589  1 O 1.48
B 0.3023 0.1249 0.6263  1 O 1.49
B 0.3246 0.7763 0.4428  6 B 1.70-1.84
B 0.3249 0.9981 0.3326  6 B 1.69-1.84
B 0.3328 0.4463 0.1107  6 B 1.69-1.81
B 0.3325 0.6676 0.9996  6 B 1.70-1.80
B 0.3354 0.3324 0.6688  6 B 1.70-1.81
B 0.3362 0.1119 0.7792  6 B 1.70-1.81
B 0.4332 0.9599 0.1982  1 O 1.48
B 0.4350 0.6117 0.3723  1 O 1.48
B 0.4382 0.2780 0.0411  1 O 1.48
B 0.4390 0.6281 0.8656  1 O 1.48
B 0.4427 0.2949 0.5334  1 O 1.49
B 0.4429 0.9448 0.7080  1 O 1.49
B 0.4937 0.9447 0.4446  6 B 1.72-1.82
B 0.4964 0.7210 0.2201  6 B 1.69-1.83
B 0.4985 0.6120 0.1107  6 B 1.69-1.81
B 0.5015 0.3880 0.8893  6 B 1.69-1.81
B 0.5036 0.2790 0.7799  6 B 1.69-1.83
B 0.5063 0.0553 0.5554  6 B 1.72-1.82
B 0.5571 0.0552 0.2920  1 O 1.49
B 0.5573 0.7051 0.4666  1 O 1.49
B 0.5610 0.3719 0.1344  1 O 1.48
B 0.5618 0.7220 0.9589  1 O 1.48
B 0.5650 0.3883 0.6277  1 O 1.48
B 0.5668 0.0401 0.8018  1 O 1.48
B 0.6638 0.8881 0.2208  6 B 1.70-1.81
B 0.6646 0.6676 0.3312  6 B 1.70-1.81
B 0.6675 0.3324 0.0004  6 B 1.70-1.80
B 0.6672 0.5537 0.8893  6 B 1.69-1.81
B 0.6751 0.0019 0.6674  6 B 1.69-1.84
B 0.6754 0.2237 0.5572  6 B 1.70-1.84
B 0.6977 0.8751 0.3737  1 O 1.49
B 0.7016 0.5412 0.0411  1 O 1.48
B 0.7166 0.2144 0.7142  5 B 1.78-1.84
B 0.7966 0.6217 0.6274  1 O 1.48
B 0.7990 0.2964 0.2919  1 O 1.49
B 0.7996 0.9609 0.9589  1 O 1.48
B 0.8306 0.6067 0.7797  6 B 1.69-1.83
B 0.8321 0.1670 0.0015  6 B 1.70-1.83
B 0.8329 0.8306 0.6687  6 B 1.69-1.81
B 0.8344 0.9427 0.1143  6 B 1.70-1.83
B 0.8349 0.2850 0.4438  6 B 1.70-1.82
B 0.8358 0.5089 0.3319  6 B 1.70-1.84
B 0.9281 0.4270 0.7140  5 B 1.79-1.84
B 0.9307 0.1395 0.8593  5 B 1.77-1.83
B 0.9370 0.7921 0.5334  1 O 1.50
B 0.9382 0.1143 0.3739  1 O 1.50
B 0.9413 0.4674 0.1980  1 O 1.48
B 0.9405 0.7790 0.0412  1 O 1.48
B 0.9982 0.5476 0.5580  6 B 1.68-1.83
B 0.9983 0.7746 0.7792  6 B 1.70-1.81
O 0.1204 0.4176 0.9204  3 B 1.48
O 0.1236 0.0850 0.5855  3 B 1.49-1.50
O 0.3776 0.0809 0.0798  3 B 1.48
O 0.3802 0.7465 0.7469  3 B 1.48-1.49
O 0.3809 0.4133 0.4146  3 B 1.48-1.49
O 0.6191 0.5867 0.5854  3 B 1.48-1.49
O 0.6198 0.2535 0.2531  3 B 1.48-1.49
O 0.6224 0.9191 0.9202  3 B 1.48
O 0.8764 0.9150 0.4145  3 B 1.49-1.50
O 0.8796 0.5824 0.0796  3 B 1.48



[9]
The following is a DFT calculation (PBE) of a relaxed Re2HI crystal.

Density of states at the Fermi level: 3.44 states/eV per cell
SG: Fm-3m, No. 225
Relative energy among the computed polymorphs: 0.6646 eV per atom

a b c (Å): 4.3391 4.3391 4.3391
angles (deg): 60.00 60.00 60.00
Closest atoms and distances in Å follow each position.
Fractional positions:
Re 0.2500 0.2500 0.2500  4 H 2.66, 4 I 2.66
Re 0.7500 0.7500 0.7500  4 H 2.66, 4 I 2.66
H 0.0000 0.0000 0.0000  8 Re 2.66
I 0.5000 0.5000 0.5000  8 Re 2.66



[10]
The following is a DFT calculation (PBE) of a relaxed BeGeTe2 crystal.

Formation energy (no corrections): -0.0210 eV/atom
Density of states at the Fermi level: 0.09 states/eV per cell
SG: I-42d, No. 122
Relative energy among the computed polymorphs: 0.0000 eV per atom

a b c (Å): 7.3097 7.3097 7.3097
angles (deg): 128.01 128.01 76.61
Closest atoms and distances in Å follow each position.
Fractional positions:
Be 0.0000 0.0000 0.0000  4 Te 2.47
Be 0.7500 0.2500 0.5000  4 Te 2.47
Ge 0.2500 0.7500 0.5000  4 Te 2.93
Ge 0.5000 0.5000 0.0000  4 Te 2.93
Te 0.0632 0.6250 0.9382  2 Be 2.47
Te 0.3750 0.3132 0.4382  2 Be 2.47
Te 0.6868 0.1250 0.0618  2 Be 2.47
Te 0.8750 0.9368 0.5618  2 Be 2.47



[11]
The following is a DFT calculation (PBE) of a relaxed Ni2BiIrRu crystal.

Energy of formation: 1.101 eV/atom
Density of states at the Fermi level: 6.97 states/eV per cell
SG: P4/mmm, No. 123

a b c (Å): 4.5502 4.5502 4.7237
angles (deg): 90.00 90.00 90.00
Closest atoms and distances in Å follow each position.
Fractional positions:
Ni 0.0000 0.5000 0.0000  2 Ru 2.28
Ni 0.5000 0.0000 0.0000  2 Ru 2.28
Bi 0.0000 0.0000 0.5000  4 Ir 3.22, 8 Ni 3.28
Ir 0.5000 0.5000 0.5000  2 Ru 2.36
Ru 0.5000 0.5000 0.0000  4 Ni 2.28, 2 Ir 2.36



[12]
The following is a DFT calculation (PBE) of a relaxed LaPr5Er2 crystal.

Energy of formation: 0.032 eV/atom
Density of states at the Fermi level: 11.45 states/eV per cell
SG: Immm, No. 71
Relative energy among the computed polymorphs: 0.0221 eV per atom

a b c (Å): 9.0530 9.0530 9.0530
angles (deg): 156.84 101.56 83.12
Closest atoms and distances in Å follow each position.
Fractional positions:
La 0.0000 0.0000 0.0000  2 La 3.64, 4 Er 3.76, 8 Pr 4.02
Pr 0.1379 0.3674 0.7705  3 Er 3.44-3.61, 7 Pr 3.59-3.69
Pr 0.4031 0.6326 0.7705  3 Er 3.44-3.61, 7 Pr 3.59-3.69
Pr 0.5000 0.0000 0.5000  2 Er 3.49, 10 Pr 3.64-3.67
Pr 0.5969 0.3674 0.2295  3 Er 3.44-3.61, 7 Pr 3.59-3.69
Pr 0.8621 0.6326 0.2295  3 Er 3.44-3.61, 7 Pr 3.59-3.69
Er 0.2427 0.7427 0.5000  7 Pr 3.44-3.61, 2 Er 3.64, 2 La 3.76
Er 0.7573 0.2573 0.5000  7 Pr 3.44-3.61, 2 Er 3.64, 2 La 3.76



- Number 3 is which compound?
  EuClO